This record from the Alexandria database describes an optimized crystal structure of Rb2VZnI6. The functional is PBE-GGA.

abc: 8.169 8.169 11.484
angles: 90.00 90.00 90.00
Space group I4/mmm (No. 139)
Asymmetric unit:
Rb 0.000 0.500 0.250 (multiplicity 4)
V 0.000 0.000 0.000 (multiplicity 2)
Zn 0.000 0.000 0.500 (multiplicity 2)
I 0.000 0.000 0.249 (multiplicity 4)
I 0.247 0.247 0.000 (multiplicity 8)

Values from the calculation:
Density of states at the Fermi level: 0.422 states/eV/atom
Magnetization: 5.99 μB per cell
Raw formation energy: -767 meV/atom

This record from the Alexandria database describes an optimized crystal structure of Rb2ZrVI6. The functional is PBE-GGA.

abc: 11.746 11.746 11.746
angles: 90.00 90.00 90.00
Space group Fm-3m (No. 225)
Asymmetric unit:
Rb 0.250 0.250 0.250 (multiplicity 8)
Zr 0.000 0.000 0.000 (multiplicity 4)
V 0.000 0.000 0.500 (multiplicity 4)
I 0.000 0.000 0.252 (multiplicity 24)

Values from the calculation:
Density of states at the Fermi level: 1.331 states/eV/atom
Magnetization: 20.00 μB per cell
Raw formation energy: -787 meV/atom

This record from the Alexandria database describes an optimized crystal structure of RbW2I. The functional is PBE-GGA.

abc: 4.724 4.724 21.212
angles: 90.00 90.00 90.00
Space group I-42d (No. 122)
Asymmetric unit:
Rb 0.000 0.000 0.000 (multiplicity 4)
W 0.077 0.250 0.625 (multiplicity 8)
I 0.000 0.000 0.500 (multiplicity 4)

Values from the calculation:
Density of states at the Fermi level: 1.047 states/eV/atom
Magnetization: 0.00 μB per cell
Raw formation energy: 1738 meV/atom
Relative energy among the computed polymorphs: 0 meV/atom

This record from the Alexandria database describes an optimized crystal structure of Rb3WI6. The functional is PBE-GGA.

abc: 12.504 12.504 12.504
angles: 90.00 90.00 90.00
Space group Fm-3m (No. 225)
Asymmetric unit:
Rb 0.000 0.000 0.000 (multiplicity 4)
Rb 0.250 0.250 0.250 (multiplicity 8)
W 0.000 0.000 0.500 (multiplicity 4)
I 0.000 0.000 0.276 (multiplicity 24)

Values from the calculation:
Density of states at the Fermi level: 0.000 states/eV/atom
Magnetization: 12.00 μB per cell
Raw formation energy: -788 meV/atom

This record from the Alexandria database describes an optimized crystal structure of Rb2WI. The functional is PBE-GGA.

abc: 8.967 8.967 8.967
angles: 90.00 90.00 90.00
Space group Fm-3m (No. 225)
Asymmetric unit:
Rb 0.250 0.250 0.250 (multiplicity 8)
W 0.000 0.000 0.000 (multiplicity 4)
I 0.000 0.000 0.500 (multiplicity 4)

Values from the calculation:
Density of states at the Fermi level: 0.000 states/eV/atom
Magnetization: 20.00 μB per cell
Raw formation energy: 906 meV/atom
Relative energy among the computed polymorphs: 0 meV/atom

This record from the Alexandria database describes an optimized crystal structure of Rb2WI. The functional is PBE-GGA.

abc: 9.721 9.721 9.554
angles: 90.00 90.00 90.00
Space group I-42d (No. 122)
Asymmetric unit:
Rb 0.238 0.250 0.125 (multiplicity 8)
W 0.000 0.000 0.500 (multiplicity 4)
I 0.000 0.000 0.000 (multiplicity 4)

Values from the calculation:
Density of states at the Fermi level: 0.000 states/eV/atom
Magnetization: 20.00 μB per cell
Raw formation energy: 976 meV/atom
Relative energy among the computed polymorphs: 69 meV/atom

This record from the Alexandria database describes an optimized crystal structure of Rb2WI7. The functional is PBE-GGA.

abc: 8.910 8.910 12.904
angles: 90.00 90.00 90.00
Space group I4/mmm (No. 139)
Asymmetric unit:
Rb 0.000 0.500 0.250 (multiplicity 4)
W 0.000 0.000 0.000 (multiplicity 2)
I 0.000 0.000 0.214 (multiplicity 4)
I 0.000 0.000 0.500 (multiplicity 2)
I 0.219 0.219 0.000 (multiplicity 8)

Values from the calculation:
Density of states at the Fermi level: 1.465 states/eV/atom
Magnetization: 2.01 μB per cell
Raw formation energy: -472 meV/atom

This record from the Alexandria database describes an optimized crystal structure of RbW2I. The functional is PBE-GGA.

abc: 6.910 6.910 6.910
angles: 90.00 90.00 90.00
Space group Fm-3m (No. 225)
Asymmetric unit:
Rb 0.000 0.000 0.000 (multiplicity 4)
W 0.250 0.250 0.250 (multiplicity 8)
I 0.000 0.000 0.500 (multiplicity 4)

Values from the calculation:
Density of states at the Fermi level: 1.354 states/eV/atom
Magnetization: 0.00 μB per cell
Raw formation energy: 2651 meV/atom
Relative energy among the computed polymorphs: 913 meV/atom

This record from the Alexandria database describes an optimized crystal structure of Rb2YWI6. The functional is PBE-GGA.

abc: 11.652 11.652 11.652
angles: 90.00 90.00 90.00
Space group Fm-3m (No. 225)
Asymmetric unit:
Rb 0.250 0.250 0.250 (multiplicity 8)
Y 0.000 0.000 0.000 (multiplicity 4)
W 0.000 0.000 0.500 (multiplicity 4)
I 0.000 0.000 0.260 (multiplicity 24)

Values from the calculation:
Density of states at the Fermi level: 0.479 states/eV/atom
Magnetization: 4.00 μB per cell
Raw formation energy: -638 meV/atom

This record from the Alexandria database describes an optimized crystal structure of RbZrW2I. The functional is PBE-GGA.

abc: 4.869 4.869 5.159
angles: 90.00 90.00 90.00
Space group P4/mmm (No. 123)
Asymmetric unit:
Rb 0.000 0.000 0.000 (multiplicity 1)
Zr 0.000 0.000 0.500 (multiplicity 1)
W 0.000 0.500 0.000 (multiplicity 2)
I 0.500 0.500 0.500 (multiplicity 1)

Values from the calculation:
Density of states at the Fermi level: 1.396 states/eV/atom
Magnetization: 0.00 μB per cell
Raw formation energy: 3385 meV/atom

This record from the Alexandria database describes an optimized crystal structure of Rb6Y3I14. The functional is PBE-GGA.

abc: 13.2290 13.2290 7.7835
angles: 90.00 90.00 120.00
Space group P3 (No. 143)
Asymmetric unit:
Rb 0.0261 0.5582 0.0000 (multiplicity 3)
Rb 0.2994 0.1005 0.5109 (multiplicity 3)
Y 0.0000 0.0000 0.9326 (multiplicity 1)
Y 0.3333 0.6667 0.4204 (multiplicity 1)
Y 0.6667 0.3333 0.3022 (multiplicity 1)
I 0.0000 0.0000 0.3103 (multiplicity 1)
I 0.0822 0.8490 0.7878 (multiplicity 3)
I 0.1879 0.4331 0.2779 (multiplicity 3)
I 0.3333 0.6667 0.7982 (multiplicity 1)
I 0.4468 0.1962 0.0787 (multiplicity 3)
I 0.5268 0.4147 0.5206 (multiplicity 3)

Values from the calculation:
Density of states at the Fermi level: 0.439 states/eV/atom
Magnetization: 1.16 μB per cell
Raw formation energy: -1375 meV/atom

This record from the Alexandria database describes an optimized crystal structure of RbYI2. The functional is PBE-GGA.

abc: 8.235 8.235 8.235
angles: 90.00 90.00 90.00
Space group Fm-3m (No. 225)
Asymmetric unit:
Rb 0.000 0.000 0.000 (multiplicity 4)
Y 0.000 0.000 0.500 (multiplicity 4)
I 0.250 0.250 0.250 (multiplicity 8)

Values from the calculation:
Density of states at the Fermi level: 0.466 states/eV/atom
Magnetization: 7.98 μB per cell
Raw formation energy: -642 meV/atom
Relative energy among the computed polymorphs: 231 meV/atom

This record from the Alexandria database describes an optimized crystal structure of RbYI2. The functional is PBE-GGA.

abc: 4.2278 4.2278 35.2720
angles: 90.00 90.00 120.00
Space group R-3m (No. 166, hexagonal axes)
Asymmetric unit:
Rb 0.0000 0.0000 0.0000 (multiplicity 3)
Y 0.0000 0.0000 0.5000 (multiplicity 3)
I 0.0000 0.0000 0.1113 (multiplicity 6)

Values from the calculation:
Density of states at the Fermi level: 0.716 states/eV/atom
Magnetization: 0.00 μB per cell
Raw formation energy: -873 meV/atom
Relative energy among the computed polymorphs: 0 meV/atom

This record from the Alexandria database describes an optimized crystal structure of Rb3Y2I9. The functional is PBE-GGA.

abc: 14.7877 14.7877 21.2860
angles: 90.00 90.00 120.00
Space group R-3c (No. 167, hexagonal axes)
Asymmetric unit:
Rb 0.0000 0.3198 0.2500 (multiplicity 18)
Y 0.0000 0.0000 0.1528 (multiplicity 12)
I 0.0000 0.1597 0.7500 (multiplicity 18)
I 0.0115 0.1820 0.4119 (multiplicity 36)

Values from the calculation:
Density of states at the Fermi level: 0.000 states/eV/atom
Magnetization: 0.00 μB per cell
Raw formation energy: -1438 meV/atom

This record from the Alexandria database describes an optimized crystal structure of Rb2YI6. The functional is PBE-GGA.

abc: 4.114 19.740 9.645
angles: 90.00 90.00 90.00
Space group Amm2 (No. 38)
Asymmetric unit:
Rb 0.000 0.156 0.000 (multiplicity 4)
Y 0.500 0.000 0.465 (multiplicity 2)
I 0.000 0.000 0.715 (multiplicity 2)
I 0.000 0.111 0.390 (multiplicity 4)
I 0.500 0.000 0.119 (multiplicity 2)
I 0.500 0.220 0.707 (multiplicity 4)

Values from the calculation:
Density of states at the Fermi level: 1.122 states/eV/atom
Magnetization: 0.00 μB per cell
Raw formation energy: -1159 meV/atom

This record from the Alexandria database describes an optimized crystal structure of Rb5Y2I12. The functional is PBE-GGA.

abc: 20.564 8.766 11.959
angles: 90.00 108.48 90.00
Space group C2/m (No. 12)
Asymmetric unit:
Rb 0.000 0.000 0.000 (multiplicity 2)
Rb 0.191 0.500 0.339 (multiplicity 4)
Rb 0.206 0.500 0.856 (multiplicity 4)
Y 0.000 0.250 0.500 (multiplicity 4)
I 0.005 0.500 0.685 (multiplicity 4)
I 0.006 0.000 0.682 (multiplicity 4)
I 0.145 0.271 0.066 (multiplicity 8)
I 0.153 0.254 0.572 (multiplicity 8)

Values from the calculation:
Density of states at the Fermi level: 0.279 states/eV/atom
Magnetization: 1.86 μB per cell
Raw formation energy: -1334 meV/atom

This record from the Alexandria database describes an optimized crystal structure of RbY2I. The functional is PBE-GGA.

abc: 8.161 8.161 8.161
angles: 90.00 90.00 90.00
Space group Fm-3m (No. 225)
Asymmetric unit:
Rb 0.000 0.000 0.000 (multiplicity 4)
Y 0.250 0.250 0.250 (multiplicity 8)
I 0.000 0.000 0.500 (multiplicity 4)

Values from the calculation:
Density of states at the Fermi level: 1.095 states/eV/atom
Magnetization: 0.00 μB per cell
Raw formation energy: 444 meV/atom
Relative energy among the computed polymorphs: 322 meV/atom

This record from the Alexandria database describes an optimized crystal structure of RbYI4. The functional is PBE-GGA.

abc: 10.584 15.434 7.495
angles: 90.00 119.12 90.00
Space group C2/c (No. 15)
Asymmetric unit:
Rb 0.000 0.135 0.250 (multiplicity 4)
Y 0.000 0.499 0.250 (multiplicity 4)
I 0.105 0.343 0.573 (multiplicity 8)
I 0.236 0.065 0.818 (multiplicity 8)

Values from the calculation:
Magnetization: 0.00 μB per cell
Raw formation energy: -1355 meV/atom
Relative energy among the computed polymorphs: 82 meV/atom

This record from the Alexandria database describes an optimized crystal structure of Rb2YI. The functional is PBE-GGA.

abc: 9.590 9.590 9.590
angles: 90.00 90.00 90.00
Space group Fm-3m (No. 225)
Asymmetric unit:
Rb 0.250 0.250 0.250 (multiplicity 8)
Y 0.000 0.000 0.000 (multiplicity 4)
I 0.000 0.000 0.500 (multiplicity 4)

Values from the calculation:
Density of states at the Fermi level: 2.207 states/eV/atom
Magnetization: 8.00 μB per cell
Raw formation energy: 195 meV/atom
Relative energy among the computed polymorphs: 168 meV/atom

This record from the Alexandria database describes an optimized crystal structure of RbY2I. The functional is PBE-GGA.

abc: 4.847 4.847 28.379
angles: 90.00 90.00 90.00
Space group I-42d (No. 122)
Asymmetric unit:
Rb 0.000 0.000 0.000 (multiplicity 4)
Y 0.244 0.250 0.625 (multiplicity 8)
I 0.000 0.000 0.500 (multiplicity 4)

Values from the calculation:
Density of states at the Fermi level: 0.890 states/eV/atom
Magnetization: 7.41 μB per cell
Raw formation energy: 122 meV/atom
Relative energy among the computed polymorphs: 0 meV/atom

This record from the Alexandria database describes an optimized crystal structure of Rb4YI7. The functional is PBE-GGA.

abc: 18.500 6.080 12.449
angles: 90.00 105.49 90.00
Space group C2/m (No. 12)
Asymmetric unit:
Rb 0.013 0.000 0.206 (multiplicity 4)
Rb 0.244 0.500 0.168 (multiplicity 4)
Y 0.000 0.500 0.500 (multiplicity 2)
I 0.000 0.000 0.500 (multiplicity 2)
I 0.117 0.500 0.370 (multiplicity 4)
I 0.119 0.500 0.721 (multiplicity 4)
I 0.145 0.000 0.039 (multiplicity 4)

Values from the calculation:
Density of states at the Fermi level: 0.000 states/eV/atom
Magnetization: 0.00 μB per cell
Raw formation energy: -1444 meV/atom

This record from the Alexandria database describes an optimized crystal structure of Rb2YI4. The functional is PBE-GGA.

abc: 6.045 6.045 18.625
angles: 90.00 90.00 90.00
Space group I4/mmm (No. 139)
Asymmetric unit:
Rb 0.000 0.000 0.137 (multiplicity 4)
Y 0.000 0.000 0.500 (multiplicity 2)
I 0.000 0.000 0.333 (multiplicity 4)
I 0.000 0.500 0.000 (multiplicity 4)

Values from the calculation:
Density of states at the Fermi level: 0.479 states/eV/atom
Magnetization: 1.11 μB per cell
Raw formation energy: -1286 meV/atom